No. 1
Material: La6CN3F2
Method: DFT, PBE
State: relaxed

a b c (Å): 6.498 6.498 6.586
angles (deg): 99.59 99.59 120.23
Positions (direct):
La: 0.089 0.409 0.770
La: 0.236 0.236 0.238
La: 0.409 0.089 0.770
La: 0.591 0.911 0.230
La: 0.764 0.764 0.762
La: 0.911 0.591 0.230
C: 0.000 0.000 0.500
N: 0.158 0.842 0.000
N: 0.500 0.500 0.000
N: 0.842 0.158 0.000
F: 0.331 0.669 0.500
F: 0.669 0.331 0.500

Output
Calculated total energy (eV per atom): -7.282
Formation energy from raw total energies (eV/atom): -1.6567
Calculated volume (Å³/f.u.): 226.5
Size of the total moment (μB/cell): 0.0
Space-group type: C2/m (12)
Density of states at the Fermi level (states/eV/f.u.): 4.25

=====

No. 2
Material: Pr4MgIr
Method: DFT, PBE
State: relaxed

a b c (Å): 8.168 8.168 6.232
angles (deg): 99.63 99.63 110.44
Positions (direct):
Pr: 0.058 0.717 0.952
Pr: 0.190 0.364 0.610
Pr: 0.283 0.942 0.548
Pr: 0.364 0.190 0.110
Pr: 0.636 0.810 0.890
Pr: 0.717 0.058 0.452
Pr: 0.810 0.636 0.390
Pr: 0.942 0.283 0.048
Mg: 0.385 0.615 0.250
Mg: 0.615 0.385 0.750
Ir: 0.000 0.000 0.250
Ir: 0.000 0.000 0.750

Output
Calculated total energy (eV per atom): -5.159
Energy of formation from the pure elements (eV/atom): -0.230
Calculated volume (Å³/f.u.): 186.2
Size of the total moment (μB/cell): 0.0
Offset from the most stable computed form (eV/atom): 0.114
Space-group type: C2/c (15)
Density of states at the Fermi level (states/eV/f.u.): 7.77

=====

No. 3
Material: Be2PdS
Method: DFT, PBE
State: relaxed

a b c (Å): 5.104 5.104 9.478
angles (deg): 90.00 90.00 90.00
Positions (direct):
Be: 0.223 0.250 0.125
Be: 0.250 0.723 0.375
Be: 0.250 0.777 0.875
Be: 0.277 0.250 0.625
Be: 0.723 0.750 0.625
Be: 0.750 0.223 0.875
Be: 0.750 0.277 0.375
Be: 0.777 0.750 0.125
Pd: 0.000 0.000 0.500
Pd: 0.000 0.500 0.750
Pd: 0.500 0.000 0.250
Pd: 0.500 0.500 0.000
S: 0.000 0.000 0.000
S: 0.000 0.500 0.250
S: 0.500 0.000 0.750
S: 0.500 0.500 0.500

Output
Calculated total energy (eV per atom): -4.429
Formation energy from raw total energies (eV/atom): -0.2360
Calculated volume (Å³/f.u.): 61.7
Size of the total moment (μB/cell): 0.0
Space-group type: I-42d (122)
Density of states at the Fermi level (states/eV/f.u.): 0.00

=====

No. 4
Material: K3SmU3Te8
Method: DFT, PBE
State: relaxed

a b c (Å): 9.854 9.854 9.854
angles (deg): 53.96 53.96 53.96
Positions (direct):
K: 0.000 0.500 0.500
K: 0.500 0.000 0.500
K: 0.500 0.500 0.000
Sm: 0.500 0.500 0.500
U: 0.000 0.000 0.500
U: 0.000 0.500 0.000
U: 0.500 0.000 0.000
Te: 0.231 0.740 0.740
Te: 0.237 0.237 0.237
Te: 0.260 0.260 0.769
Te: 0.260 0.769 0.260
Te: 0.740 0.231 0.740
Te: 0.740 0.740 0.231
Te: 0.763 0.763 0.763
Te: 0.769 0.260 0.260

Output
Calculated total energy (eV per atom): -5.426
Formation energy from raw total energies (eV/atom): -0.9588
Calculated volume (Å³/f.u.): 581.0
Size of the total moment (μB/cell): 8.0
Space-group type: R-3m (166)
Density of states at the Fermi level (states/eV/f.u.): 22.49

=====

No. 5
Material: CdMo2P
Method: DFT, PBE
State: relaxed

a b c (Å): 3.345 4.787 8.248
angles (deg): 90.00 90.00 90.00
Positions (direct):
Cd: 0.000 0.000 0.000
Cd: 0.500 0.500 0.500
Mo: 0.000 0.500 0.198
Mo: 0.000 0.500 0.802
Mo: 0.500 0.000 0.302
Mo: 0.500 0.000 0.698
P: 0.000 0.000 0.500
P: 0.500 0.500 0.000

Output
Calculated total energy (eV per atom): -6.834
Energy of formation from the pure elements (eV/atom): 0.162
Calculated volume (Å³/f.u.): 66.0
Size of the total moment (μB/cell): 0.0
Offset from the most stable computed form (eV/atom): 0.164
Space-group type: Immm (71)
Density of states at the Fermi level (states/eV/f.u.): 2.46

=====

No. 6
Material: KLi2Se2
Method: DFT, PBE
State: relaxed

a b c (Å): 4.430 4.430 11.597
angles (deg): 90.00 90.00 90.00
Positions (direct):
K: 0.000 0.000 0.000
K: 0.500 0.500 0.500
Li: 0.000 0.500 0.250
Li: 0.000 0.500 0.750
Li: 0.500 0.000 0.250
Li: 0.500 0.000 0.750
Se: 0.000 0.000 0.365
Se: 0.000 0.000 0.635
Se: 0.500 0.500 0.135
Se: 0.500 0.500 0.865

Output
Calculated total energy (eV per atom): -3.410
Formation energy from raw total energies (eV/atom): -1.0312
Calculated volume (Å³/f.u.): 113.8
Size of the total moment (μB/cell): 0.0
Offset from the most stable computed form (eV/atom): 0.000
Space-group type: I4/mmm (139)
Density of states at the Fermi level (states/eV/f.u.): 3.23

=====

No. 7
Material: NdZnAg
Method: DFT, PBE
State: relaxed

a b c (Å): 3.653 3.653 10.144
angles (deg): 90.00 90.00 90.00
Positions (direct):
Nd: 0.000 0.000 0.000
Nd: 0.500 0.500 0.500
Zn: 0.000 0.000 0.318
Zn: 0.500 0.500 0.818
Ag: 0.000 0.000 0.694
Ag: 0.500 0.500 0.194

Output
Calculated total energy (eV per atom): -3.169
Energy of formation from the pure elements (eV/atom): -0.205
Calculated volume (Å³/f.u.): 67.7
Size of the total moment (μB/cell): 0.0
Space-group type: I4mm (107)
Density of states at the Fermi level (states/eV/f.u.): 1.35

=====

No. 8
Material: La2TiSbBr
Method: DFT, PBE
State: relaxed

a b c (Å): 6.135 6.135 5.634
angles (deg): 90.00 90.00 90.00
Positions (direct):
La: 0.000 0.500 0.000
La: 0.500 0.000 0.000
Ti: 0.000 0.000 0.500
Sb: 0.500 0.500 0.000
Br: 0.500 0.500 0.500

Output
Calculated total energy (eV per atom): -4.275
Formation energy from raw total energies (eV/atom): 0.4341
Calculated volume (Å³/f.u.): 212.0
Size of the total moment (μB/cell): 4.2
Space-group type: P4/mmm (123)
Density of states at the Fermi level (states/eV/f.u.): 4.79

=====

No. 9
Material: CaPr2NdBi4
Method: DFT, PBE
State: relaxed

a b c (Å): 8.018 4.625 8.040
angles (deg): 90.00 109.46 90.00
Positions (direct):
Ca: 0.000 0.000 0.000
Pr: 0.500 0.000 0.500
Pr: 0.500 0.500 0.000
Nd: 0.000 0.500 0.500
Bi: 0.248 0.000 0.749
Bi: 0.249 0.500 0.250
Bi: 0.751 0.500 0.750
Bi: 0.752 0.000 0.251

Output
Calculated total energy (eV per atom): -4.848
Energy of formation from the pure elements (eV/atom): -0.866
Calculated volume (Å³/f.u.): 281.2
Size of the total moment (μB/cell): 0.0
Space-group type: P2/m (10)
Density of states at the Fermi level (states/eV/f.u.): 4.36

=====

No. 10
Material: Pr6Y5
Method: DFT, PBE
State: relaxed

a b c (Å): 8.582 8.582 6.173
angles (deg): 106.72 106.72 105.07
Positions (direct):
Pr: 0.047 0.324 0.607
Pr: 0.181 0.181 0.080
Pr: 0.324 0.047 0.607
Pr: 0.676 0.953 0.393
Pr: 0.819 0.819 0.920
Pr: 0.953 0.676 0.393
Y: 0.233 0.767 0.000
Y: 0.369 0.631 0.500
Y: 0.500 0.500 0.000
Y: 0.631 0.369 0.500
Y: 0.767 0.233 0.000

Output
Calculated total energy (eV per atom): -5.426
Energy of formation from the pure elements (eV/atom): 0.119
Calculated volume (Å³/f.u.): 386.8
Size of the total moment (μB/cell): 0.0
Space-group type: C2/m (12)
Density of states at the Fermi level (states/eV/f.u.): 18.57

=====

No. 11
Material: ReCl
Method: DFT, PBE
State: relaxed

a b c (Å): 8.518 8.518 8.518
angles (deg): 90.00 90.00 90.00
Positions (direct):
Re: 0.102 0.102 0.898
Re: 0.102 0.898 0.102
Re: 0.398 0.398 0.398
Re: 0.398 0.602 0.602
Re: 0.602 0.398 0.602
Re: 0.602 0.602 0.398
Re: 0.898 0.102 0.102
Re: 0.898 0.898 0.898
Cl: 0.240 0.240 0.240
Cl: 0.240 0.760 0.760
Cl: 0.260 0.260 0.740
Cl: 0.260 0.740 0.260
Cl: 0.740 0.260 0.260
Cl: 0.740 0.740 0.740
Cl: 0.760 0.240 0.760
Cl: 0.760 0.760 0.240

Output
Calculated total energy (eV per atom): -6.275
Formation energy from raw total energies (eV/atom): 0.8723
Calculated volume (Å³/f.u.): 77.2
Size of the total moment (μB/cell): 8.1
Offset from the most stable computed form (eV/atom): 0.983
Space-group type: I-43m (217)
Density of states at the Fermi level (states/eV/f.u.): 3.34

=====

No. 12
Material: Tm2Sc4S9
Method: DFT, PBE
State: relaxed

a b c (Å): 6.582 6.582 17.879
angles (deg): 90.00 90.00 120.00
Positions (direct):
Tm: 0.000 0.000 0.150
Tm: 0.000 0.000 0.350
Tm: 0.000 0.000 0.650
Tm: 0.000 0.000 0.850
Sc: 0.333 0.667 0.012
Sc: 0.333 0.667 0.320
Sc: 0.333 0.667 0.512
Sc: 0.333 0.667 0.820
Sc: 0.667 0.333 0.180
Sc: 0.667 0.333 0.488
Sc: 0.667 0.333 0.680
Sc: 0.667 0.333 0.988
S: 0.000 0.316 0.250
S: 0.000 0.684 0.750
S: 0.024 0.372 0.917
S: 0.024 0.651 0.417
S: 0.316 0.000 0.250
S: 0.316 0.316 0.750
S: 0.349 0.372 0.417
S: 0.349 0.976 0.917
S: 0.372 0.024 0.583
S: 0.372 0.349 0.083
S: 0.628 0.651 0.917
S: 0.628 0.976 0.417
S: 0.651 0.024 0.083
S: 0.651 0.628 0.583
S: 0.684 0.000 0.750
S: 0.684 0.684 0.250
S: 0.976 0.349 0.583
S: 0.976 0.628 0.083

Output
Calculated total energy (eV per atom): -6.692
Formation energy from raw total energies (eV/atom): -1.9311
Calculated volume (Å³/f.u.): 335.4
Size of the total moment (μB/cell): 0.0
Space-group type: P-3c1 (165)
Density of states at the Fermi level (states/eV/f.u.): 0.00

=====

Q: Which value of density of states at the Fermi level does entry 5 give?
A: 2.46 states/eV/f.u.